This record from the Alexandria database describes an optimized crystal structure of Co2PtF2. The functional is PBE with a Hubbard U.

Properties
energy = -45.5 eV for the cell shown
space group = P4/mbm, No. 127
magnetic moment = 11.4 Bohr magnetons per cell
ΔE to the lowest computed polymorph = 0.00 eV per formula unit

Unit cell a=7.0135 b=7.0135 c=2.7176 alpha=90.00 beta=90.00 gamma=90.00
Positions (direct):
F  0.1178  0.3822  0.0000
F  0.3822  0.8822  0.0000
F  0.6178  0.1178  0.0000
F  0.8822  0.6178  0.0000
Pt  0.5000  0.5000  0.0000
Pt  0.0000  0.0000  0.0000
Co  0.7719  0.2719  0.5000
Co  0.7281  0.7719  0.5000
Co  0.2719  0.2281  0.5000
Co  0.2281  0.7281  0.5000